Record 1
Pr6P2NCl3: relaxed, PBE.

Unit cell a=6.9968 b=12.1103 c=7.4165 alpha=90.00 beta=108.28 gamma=90.00
With the nearest neighbours (Å) after each atom.
Space group C2/m (No. 12)
Symmetry-distinct sites (fractional):
Pr: 0.2209 0.1533 0.2033 (multiplicity 8)  1 N 2.58, 2 P 2.82
Pr: 0.2385 0.0000 0.7949 (multiplicity 4)  1 N 2.59, 2 P 2.82
P: 0.0000 0.3336 0.0000 (multiplicity 4)  6 Pr 2.82
N: 0.0000 0.0000 0.0000 (multiplicity 2)  6 Pr 2.58-2.59
Cl: 0.0000 0.1725 0.5000 (multiplicity 4)  6 Pr 3.07-3.23
Cl: 0.0000 0.5000 0.5000 (multiplicity 2)  6 Pr 3.07-3.26

Properties
Its energy relative to the elements, uncorrected is -1800 kJ/mol of formula units. The density comes out at 5.720 g cm⁻³.

---

Record 2
Ce2PmGe2: relaxed, PBE.

Unit cell a=8.1074 b=8.1074 c=3.9886 alpha=90.00 beta=90.00 gamma=90.00
With the nearest neighbours (Å) after each atom.
Space group P4/mbm (No. 127)
Symmetry-distinct sites (fractional):
Ce: 0.1269 0.3731 0.0000 (multiplicity 4)  1 Ce 2.91, 6 Ge 3.10-3.12
Pm: 0.0000 0.0000 0.5000 (multiplicity 2)  4 Ge 3.02
Ge: 0.1666 0.6666 0.5000 (multiplicity 4)  2 Pm 3.02, 6 Ce 3.10-3.12

Properties
The value obtained for the formation energy is -334 kJ/mol of formula units. The density comes out at 7.227 g cm⁻³.

---

Record 3
AcTbAl2Ge2: relaxed, PBE.

Unit cell a=4.2756 b=4.2756 c=8.9209 alpha=90.00 beta=90.00 gamma=120.00
With the nearest neighbours (Å) after each atom.
Space group P-3m1 (No. 164)
Symmetry-distinct sites (fractional):
Ac: 0.0000 0.0000 0.0000 (multiplicity 1)  6 Al 3.33, 6 Ge 3.58
Tb: 0.0000 0.0000 0.5000 (multiplicity 1)  6 Ge 3.09, 6 Al 3.32
Al: 0.3333 0.6667 0.7495 (multiplicity 2)  3 Ge 2.50
Ge: 0.3333 0.6667 0.2913 (multiplicity 2)  3 Al 2.50

Properties
The value obtained for the formation energy is -350 kJ/mol of formula units. The density comes out at 6.880 g cm⁻³.